# Rb2BaPd

A geometry-optimized Rb2BaPd structure (PBE, Alexandria).

abc: 12.5897 12.5897 9.4074
angles: 48.00 48.00 90.00
Last column: nearest neighbours and their distance in Å.
Sites, in units of the cell vectors:
Rb 0.2574 0.6250 0.2500  2 Pd 3.56
Rb 0.8750 0.7426 0.7500  2 Pd 3.56
Rb 0.4926 0.1250 0.2500  2 Pd 3.56
Rb 0.3750 0.5074 0.7500  2 Pd 3.56
Ba 0.0000 0.0000 0.0000  2 Pd 3.04
Ba 0.7500 0.2500 0.5000  2 Pd 3.04
Pd 0.5000 0.5000 0.0000  2 Ba 3.04
Pd 0.2500 0.7500 0.5000  2 Ba 3.04

Calculated values
**Raw total energy**: -2.17 eV per atom
**ΔE_f**: 0.09 eV per atom